Density functional theory data (PBE-GGA) for a geometry-optimized BaCaTc4 structure.

Computed properties:
space group = F-43m, No. 216
calculated formation energy = 353 kJ/mol of formula units

a b c (Å): 5.5376 5.5376 5.5376
angles (deg): 60.00 60.00 60.00
Sites, in units of the cell vectors:
Ba (0.0000, 0.0000, 0.0000)
Ca (0.7500, 0.7500, 0.7500)
Tc (0.3753, 0.3753, 0.3753)
Tc (0.3753, 0.3753, 0.8740)
Tc (0.3753, 0.8740, 0.3753)
Tc (0.8740, 0.3753, 0.3753)